## NdDyCuSn (PBE)

Data for crystalline NdDyCuSn at its relaxed geometry.

Summary:
Formation enthalpy at 0 K, kJ per mole of atoms: -40.3
Raw total energy, eV/atom: -4.785
V, Å³ per cell: 406
M_tot, μB per formula unit: 0.0
SG: No. 216

Cell: 7.402 7.402 7.402 Å, 90.00 90.00 90.00°
Fractional coordinates of all 16 atoms:
Nd  0.000  0.000  0.000
Nd  0.000  0.500  0.500
Nd  0.500  0.000  0.500
Nd  0.500  0.500  0.000
Dy  0.000  0.000  0.500
Dy  0.000  0.500  0.000
Dy  0.500  0.000  0.000
Dy  0.500  0.500  0.500
Cu  0.250  0.250  0.250
Cu  0.250  0.750  0.750
Cu  0.750  0.250  0.750
Cu  0.750  0.750  0.250
Sn  0.250  0.250  0.750
Sn  0.250  0.750  0.250
Sn  0.750  0.250  0.250
Sn  0.750  0.750  0.750

=====

## Nd2DyCuTe5 (PBE)

Data for crystalline Nd2DyCuTe5 at its relaxed geometry.

Summary:
Uncorrected formation energy, eV per formula unit: -10.8
Raw total energy, eV/atom: -4.975
V, Å³ per cell: 536
M_tot, μB per formula unit: 0.0
SG: No. 36

Cell: 9.776 9.776 13.028 Å, 90.00 90.00 154.51°
Fractional coordinates of all 18 atoms:
Nd  0.109  0.891  0.500
Nd  0.124  0.876  0.121
Nd  0.876  0.124  0.621
Nd  0.891  0.109  0.000
Dy  0.191  0.809  0.824
Dy  0.809  0.191  0.324
Cu  0.429  0.571  0.273
Cu  0.571  0.429  0.773
Te  0.042  0.958  0.878
Te  0.286  0.714  0.487
Te  0.312  0.688  0.157
Te  0.355  0.645  0.813
Te  0.500  0.500  0.101
Te  0.500  0.500  0.601
Te  0.645  0.355  0.313
Te  0.688  0.312  0.657
Te  0.714  0.286  0.987
Te  0.958  0.042  0.378

=====

## NdDyYCu (PBE)

Data for crystalline NdDyYCu at its relaxed geometry.

Summary:
Formation enthalpy at 0 K, kJ per mole of atoms: -9.6
Raw total energy, eV/atom: -5.082
V, Å³ per cell: 109
M_tot, μB per formula unit: 0.0
SG: No. 99

Cell: 3.531 3.531 8.755 Å, 90.00 90.00 90.00°
Fractional coordinates of all 4 atoms:
Nd  0.000  0.000  0.000
Dy  0.500  0.500  0.306
Y  0.500  0.500  0.690
Cu  0.000  0.000  0.494

=====

## NdDyZnCu (PBE)

Data for crystalline NdDyZnCu at its relaxed geometry.

Summary:
Formation enthalpy at 0 K, kJ per mole of atoms: -24.8
Raw total energy, eV/atom: -3.942
V, Å³ per cell: 92
M_tot, μB per formula unit: 0.0
Energy above the most stable polymorph in this dataset, eV/atom: 0.000
SG: No. 99

Cell: 3.569 3.569 7.197 Å, 90.00 90.00 90.00°
Fractional coordinates of all 4 atoms:
Nd  0.000  0.000  0.000
Dy  0.000  0.000  0.488
Zn  0.500  0.500  0.730
Cu  0.500  0.500  0.269

=====

## NdDyZnCu (PBE)

Data for crystalline NdDyZnCu at its relaxed geometry.

Summary:
Formation enthalpy at 0 K, kJ per mole of atoms: -23.7
Raw total energy, eV/atom: -3.931
V, Å³ per cell: 368
M_tot, μB per formula unit: 0.0
Energy above the most stable polymorph in this dataset, eV/atom: 0.011
SG: No. 216

Cell: 7.165 7.165 7.165 Å, 90.00 90.00 90.00°
Fractional coordinates of all 16 atoms:
Nd  0.000  0.000  0.000
Nd  0.000  0.500  0.500
Nd  0.500  0.000  0.500
Nd  0.500  0.500  0.000
Dy  0.000  0.000  0.500
Dy  0.000  0.500  0.000
Dy  0.500  0.000  0.000
Dy  0.500  0.500  0.500
Zn  0.250  0.250  0.250
Zn  0.250  0.750  0.750
Zn  0.750  0.250  0.750
Zn  0.750  0.750  0.250
Cu  0.250  0.250  0.750
Cu  0.250  0.750  0.250
Cu  0.750  0.250  0.250
Cu  0.750  0.750  0.750

=====

## Dy3CuNi8 (PBE)

Data for crystalline Dy3CuNi8 at its relaxed geometry.

Summary:
Formation enthalpy at 0 K, kJ per mole of atoms: -37.0
Raw total energy, eV/atom: -5.730
V, Å³ per cell: 174
M_tot, μB per formula unit: 0.0
SG: No. 160

Cell: 8.622 8.622 8.622 Å, 33.47 33.47 33.47°
Fractional coordinates of all 12 atoms:
Dy  0.000  0.000  0.000
Dy  0.130  0.130  0.130
Dy  0.519  0.519  0.519
Cu  0.639  0.639  0.639
Ni  0.066  0.570  0.570
Ni  0.072  0.072  0.567
Ni  0.072  0.567  0.072
Ni  0.319  0.319  0.319
Ni  0.567  0.072  0.072
Ni  0.570  0.066  0.570
Ni  0.570  0.570  0.066
Ni  0.820  0.820  0.820